Record 1
A geometry-optimized AcCdSn structure. Source: OQMD, functional PBE.

Calculated values
The calculation puts the total magnetization at 0.003 μB per cell. Its space group is F-43m. As for the excess energy over the best structure of this formula in the dataset: 192 meV/atom. Its crystal system is cubic. The value obtained for the mass density is 7.635 g cm⁻³.

a b c (Å): 5.204 5.204 5.204
angles (deg): 60.00 60.00 60.00
Fractional coordinates of all 3 atoms:
Ac: 0.250 0.250 0.250
Cd: 0.000 0.000 0.000
Sn: 0.750 0.750 0.750

Record 2
A geometry-optimized AcCdSn structure. Source: OQMD, functional PBE.

Calculated values
The calculation puts the total magnetization at 0.003 μB per cell. Its space group is P3m1. As for the excess energy over the best structure of this formula in the dataset: 0 meV/atom. Its crystal system is trigonal. The value obtained for the mass density is 8.086 g cm⁻³.

a b c (Å): 4.836 4.836 4.646
angles (deg): 90.00 90.00 120.00
Fractional coordinates of all 3 atoms:
Sn: 0.333 0.667 0.859
Ac: 0.000 0.000 0.336
Cd: 0.667 0.333 0.805

Record 3
A geometry-optimized AcCdSn structure. Source: OQMD, functional PBE.

Calculated values
The calculation puts the total magnetization at 0.001 μB per cell. Its space group is F-43m. As for the excess energy over the best structure of this formula in the dataset: 443 meV/atom. Its crystal system is cubic. The value obtained for the mass density is 6.714 g cm⁻³.

a b c (Å): 5.431 5.431 5.431
angles (deg): 60.00 60.00 60.00
Fractional coordinates of all 3 atoms:
Cd: 0.250 0.250 0.250
Sn: 0.750 0.750 0.750
Ac: 0.000 0.000 0.000